Computed, not measured: a geometry-optimized TlIr2PbC structure at the PBE level of DFT.

The structure in POSCAR format:
```
TlIr2PbC
1.0
5.022 0.000 0.000
0.000 5.804 0.000
0.000 0.000 5.022
Pb Tl Ir C
1 1 2 1
direct
0.000 0.500 0.000
0.000 0.000 0.000
0.000 0.000 0.500
0.500 0.000 0.000
0.500 0.500 0.500
```

Results
Total magnetic moment = 2.63 μB/cell
Space group = P4/mmm
DFT formation energy = 3064 meV/atom